# NaLiV2O6

Crystalline NaLiV2O6 at its relaxed geometry (PBE with a Hubbard U, the Alexandria database).

a = 10.442 Å, b = 9.260 Å, c = 5.929 Å
α = 90.00°, β = 110.67°, γ = 90.00°
Space group C2/c (No. 15)
Asymmetric unit:
Na: 0.000 0.220 0.250 [4 per cell]
Li: 0.000 0.409 0.750 [4 per cell]
V: 0.211 0.091 0.752 [8 per cell]
O: 0.117 0.407 0.143 [8 per cell]
O: 0.145 0.007 0.455 [8 per cell]
O: 0.147 0.259 0.706 [8 per cell]

**Magnetization**: 0.0000 μB/atom
**E**: -270.43 eV for the cell shown